{"formula": "Tl5Bi2Pb5", "functional": "GGA-PBE", "state": "optimized geometry", "de_polymorph_mev_per_atom": 79, "delta_e_f_mev_per_atom": 87.5, "sg": "C2/m", "dft_energy_ev_per_cell": -37.085, "lattice": [[-0.469, 2.936, 1.751], [-3.485, -6.039, 5.789], [14.617, 1.078, 2.110]], "species": ["Tl", "Tl", "Tl", "Tl", "Tl", "Pb", "Pb", "Pb", "Pb", "Pb", "Bi", "Bi"], "fractional_positions": [[0.221, 0.442, 0.611], [0.779, 0.558, 0.389], [0.670, 0.339, 0.021], [0.500, 0.000, 0.500], [0.330, 0.661, 0.979], [0.693, 0.387, 0.791], [0.000, 0.000, 0.000], [0.307, 0.613, 0.209], [0.887, 0.774, 0.613], [0.113, 0.226, 0.387], [0.040, 0.081, 0.800], [0.960, 0.919, 0.200]]}